VASP calculation (PBE) on crystalline YPa3S4 at its relaxed geometry.

Geometry as POSCAR:
```
YPa3S4
1.0
6.619 0.022 0.000
-2.300 6.495 0.000
0.000 0.000 7.780
Pa Y S
6 2 8
Direct
0.250 0.500 0.874 Pa
0.250 0.500 0.378 Pa
0.750 0.500 0.622 Pa
0.250 0.000 0.622 Pa
0.750 0.500 0.126 Pa
0.750 0.000 0.378 Pa
0.250 0.000 0.125 Y
0.750 0.000 0.875 Y
0.001 0.753 0.875 S
0.499 0.248 0.372 S
0.999 0.248 0.628 S
0.501 0.753 0.125 S
0.999 0.247 0.125 S
0.001 0.752 0.372 S
0.501 0.752 0.628 S
0.499 0.247 0.875 S
```

Summary:
Its raw total energy is -129.95 eV per cell. For the energy relative to the elements, uncorrected, the calculation gives -13.5 eV per formula unit. Its symmetry is No. 13.